No. 1
Here is a geometry-optimized PSe2NF structure from the Alexandria database. Energies are from PBE.

It has space group P4/mmm (No. 123), with a = 4.6483 Å, b = 4.6483 Å, c = 3.8523 Å, α = 90.00°, β = 90.00° and γ = 90.00°. The asymmetric unit holds P at (0.0000, 0.0000, 0.0000), Se at (0.0000, 0.5000, 0.5000), N at (0.5000, 0.5000, 0.0000) and F at (0.5000, 0.5000, 0.5000).

Its crystal system is tetragonal. Its energy relative to the lowest polymorph listed for this composition is 1019 meV per atom. As for the energy relative to the elements, uncorrected: 1508 meV per atom. The calculation puts the energy at -3.01 eV per atom.

No. 2
Here is a geometry-optimized Sm5Co2Te2 structure from the Alexandria database. Energies are from PBE.

It has space group Cmce (No. 64), with a = 15.8092 Å, b = 7.8424 Å, c = 7.7566 Å, α = 90.00°, β = 90.00° and γ = 90.00°. The asymmetric unit holds Sm at (0.0000, 0.0000, 0.0000), Sm at (0.1161, 0.1618, 0.3409), Co at (0.0000, 0.1336, 0.6323) and Te at (0.2087, 0.0000, 0.0000).

Its crystal system is orthorhombic. As for the energy relative to the elements, uncorrected: -649 meV per atom. The calculation puts the energy at -5.55 eV per atom.

No. 3
Here is a geometry-optimized Sr2Au3 structure from the Alexandria database. Energies are from PBE.

It has space group Cmcm (No. 63), with a = 4.1387 Å, b = 29.3163 Å, c = 4.6352 Å, α = 90.00°, β = 90.00° and γ = 90.00°. The asymmetric unit holds Sr at (0.0000, 0.0703, 0.2500), Sr at (0.0000, 0.2044, 0.7500), Au at (0.0000, 0.3195, 0.7500), Au at (0.0000, 0.3800, 0.2500) and Au at (0.0000, 0.4743, 0.2500).

Its crystal system is orthorhombic. Its energy relative to the lowest polymorph listed for this composition is 0 meV per atom. The calculation puts the energy at -3.39 eV per atom.

No. 4
Here is a geometry-optimized Pu2Al4SnAu3 structure from the Alexandria database. Energies are from PBE.

It has space group P-4m2 (No. 115), with a = 4.3658 Å, b = 4.3658 Å, c = 10.9375 Å, α = 90.00°, β = 90.00° and γ = 90.00°. The asymmetric unit holds Pu at (0.0000, 0.5000, 0.2453), Al at (0.0000, 0.0000, 0.0000), Al at (0.0000, 0.5000, 0.6490), Al at (0.5000, 0.5000, 0.0000), Sn at (0.0000, 0.0000, 0.5000), Au at (0.0000, 0.5000, 0.8737) and Au at (0.5000, 0.5000, 0.5000).

Its crystal system is tetragonal. The calculation puts the energy at -6.17 eV per atom.

No. 5
Here is a geometry-optimized Ti3IrCl structure from the Alexandria database. Energies are from PBE.

It has space group Pm-3m (No. 221), with a = 4.8625 Å, b = 4.8625 Å, c = 4.8625 Å, α = 90.00°, β = 90.00° and γ = 90.00°. The asymmetric unit holds Ti at (0.0000, 0.0000, 0.5000), Ir at (0.0000, 0.0000, 0.0000) and Cl at (0.5000, 0.5000, 0.5000).

Its crystal system is cubic. Its energy relative to the lowest polymorph listed for this composition is 260 meV per atom. As for the energy relative to the elements, uncorrected: 246 meV per atom. The calculation puts the energy at -6.63 eV per atom.

No. 6
Here is a geometry-optimized Zr2OsPt structure from the Alexandria database. Energies are from PBE.

It has space group R-3m (No. 166, hexagonal axes), with a = 3.3840 Å, b = 3.3840 Å, c = 23.6543 Å, α = 90.00°, β = 90.00° and γ = 120.00°. The asymmetric unit holds Zr at (0.0000, 0.0000, 0.2486), Os at (0.0000, 0.0000, 0.5000) and Pt at (0.0000, 0.0000, 0.0000).

Its crystal system is trigonal. The calculation puts the energy at -8.91 eV per atom.

No. 7
Here is a geometry-optimized Bi4Se2N structure from the Alexandria database. Energies are from PBE.

It has space group I4/mmm (No. 139), with a = 4.7860 Å, b = 4.7860 Å, c = 19.2582 Å, α = 90.00°, β = 90.00° and γ = 90.00°. The asymmetric unit holds Bi at (0.0000, 0.0000, 0.2496), Bi at (0.0000, 0.5000, 0.0000), Se at (0.0000, 0.0000, 0.1044) and N at (0.0000, 0.0000, 0.5000).

Its crystal system is tetragonal. As for the energy relative to the elements, uncorrected: 293 meV per atom. The calculation puts the energy at -4.11 eV per atom.

No. 8
Here is a geometry-optimized KZnHg2Rh structure from the Alexandria database. Energies are from PBE.

It has space group P4/mmm (No. 123), with a = 5.3352 Å, b = 5.3352 Å, c = 4.8819 Å, α = 90.00°, β = 90.00° and γ = 90.00°. The asymmetric unit holds K at (0.0000, 0.0000, 0.0000), Zn at (0.5000, 0.5000, 0.0000), Hg at (0.0000, 0.5000, 0.5000) and Rh at (0.5000, 0.5000, 0.5000).

Its crystal system is tetragonal. The calculation puts the energy at -2.22 eV per atom.

No. 9
Here is a geometry-optimized Al2SnRu2 structure from the Alexandria database. Energies are from PBE.

It has space group P4/mbm (No. 127), with a = 7.2511 Å, b = 7.2511 Å, c = 2.9623 Å, α = 90.00°, β = 90.00° and γ = 90.00°. The asymmetric unit holds Al at (0.1263, 0.3737, 0.0000), Sn at (0.0000, 0.0000, 0.0000) and Ru at (0.1688, 0.6688, 0.5000).

Its crystal system is tetragonal. Its energy relative to the lowest polymorph listed for this composition is 126 meV per atom. The calculation puts the energy at -6.22 eV per atom.

No. 10
Here is a geometry-optimized PaSbMo structure from the Alexandria database. Energies are from PBE.

It has space group I4mm (No. 107), with a = 3.3824 Å, b = 3.3824 Å, c = 11.3922 Å, α = 90.00°, β = 90.00° and γ = 90.00°. The asymmetric unit holds Pa at (0.0000, 0.0000, 0.0000), Sb at (0.0000, 0.0000, 0.7085) and Mo at (0.0000, 0.0000, 0.3399).

Its crystal system is tetragonal. Its energy relative to the lowest polymorph listed for this composition is 235 meV per atom. As for the energy relative to the elements, uncorrected: -83 meV per atom. The calculation puts the energy at -8.23 eV per atom.

No. 11
Here is a geometry-optimized EuCdGaCu structure from the Alexandria database. Energies are from PBE.

It has space group F-43m (No. 216), with a = 6.9280 Å, b = 6.9280 Å, c = 6.9280 Å, α = 90.00°, β = 90.00° and γ = 90.00°. The asymmetric unit holds Eu at (0.0000, 0.0000, 0.0000), Cd at (0.0000, 0.0000, 0.5000), Ga at (0.2500, 0.2500, 0.2500) and Cu at (0.2500, 0.2500, 0.7500).

Its crystal system is cubic. The calculation puts the energy at -4.78 eV per atom.

No. 12
Here is a geometry-optimized LiAcHgP structure from the Alexandria database. Energies are from PBE.

It has space group F-43m (No. 216), with a = 7.3660 Å, b = 7.3660 Å, c = 7.3660 Å, α = 90.00°, β = 90.00° and γ = 90.00°. The asymmetric unit holds Li at (0.0000, 0.0000, 0.0000), Ac at (0.0000, 0.0000, 0.5000), Hg at (0.2500, 0.2500, 0.7500) and P at (0.2500, 0.2500, 0.2500).

Its crystal system is cubic. The calculation puts the energy at -3.47 eV per atom.

No. 13
Here is a geometry-optimized BeZnSe2 structure from the Alexandria database. Energies are from PBE.

It has space group Cm (No. 8), with a = 6.6851 Å, b = 3.8588 Å, c = 6.7173 Å, α = 90.00°, β = 109.35° and γ = 90.00°. The asymmetric unit holds Be at (0.0000, 0.0000, 0.0000), Zn at (0.0001, 0.5000, 0.4969), Se at (0.3693, 0.0000, 0.1077) and Se at (0.3837, 0.5000, 0.6484).

Its crystal system is monoclinic. Its energy relative to the lowest polymorph listed for this composition is 35 meV per atom. As for the energy relative to the elements, uncorrected: -711 meV per atom. The calculation puts the energy at -3.70 eV per atom.

No. 14
Here is a geometry-optimized Ac3PbN structure from the Alexandria database. Energies are from PBE.

It has space group Pm-3m (No. 221), with a = 5.3609 Å, b = 5.3609 Å, c = 5.3609 Å, α = 90.00°, β = 90.00° and γ = 90.00°. The asymmetric unit holds Ac at (0.0000, 0.0000, 0.5000), Pb at (0.5000, 0.5000, 0.5000) and N at (0.0000, 0.0000, 0.0000).

Its crystal system is cubic. As for the energy relative to the elements, uncorrected: -721 meV per atom. The calculation puts the energy at -5.59 eV per atom.

No. 15
Here is a geometry-optimized TbGa3Fe structure from the Alexandria database. Energies are from PBE.

It has space group P6_3/mmc (No. 194), with a = 6.1437 Å, b = 6.1437 Å, c = 5.4540 Å, α = 90.00°, β = 90.00° and γ = 120.00°. The asymmetric unit holds Tb at (0.3333, 0.6667, 0.2500), Ga at (0.1900, 0.3801, 0.7500) and Fe at (0.0000, 0.0000, 0.0000).

Its crystal system is hexagonal. Its energy relative to the lowest polymorph listed for this composition is 0 meV per atom. The calculation puts the energy at -4.84 eV per atom.

No. 16
Here is a geometry-optimized Sr2PrAl9 structure from the Alexandria database. Energies are from PBE.

It has space group R-3m (No. 166, hexagonal axes), with a = 5.7644 Å, b = 5.7644 Å, c = 27.0970 Å, α = 90.00°, β = 90.00° and γ = 120.00°. The asymmetric unit holds Sr at (0.0000, 0.0000, 0.1418), Pr at (0.0000, 0.0000, 0.0000), Al at (0.0000, 0.0000, 0.3349), Al at (0.0000, 0.0000, 0.5000) and Al at (0.0046, 0.5023, 0.9204).

Its crystal system is trigonal. The calculation puts the energy at -3.74 eV per atom.

No. 17
Here is a geometry-optimized YBeV3 structure from the Alexandria database. Energies are from PBE.

It has space group Pm-3m (No. 221), with a = 4.3784 Å, b = 4.3784 Å, c = 4.3784 Å, α = 90.00°, β = 90.00° and γ = 90.00°. The asymmetric unit holds Y at (0.0000, 0.0000, 0.0000), Be at (0.5000, 0.5000, 0.5000) and V at (0.0000, 0.5000, 0.5000).

Its crystal system is cubic. Its energy relative to the lowest polymorph listed for this composition is 0 meV per atom. The calculation puts the energy at -6.84 eV per atom.

No. 18
Here is a geometry-optimized Nd2Zr3Ge4 structure from the Alexandria database. Energies are from PBE.

It has space group P2_1/c (No. 14), with a = 7.5454 Å, b = 7.5448 Å, c = 7.3643 Å, α = 90.00°, β = 109.21° and γ = 90.00°. The asymmetric unit holds Nd at (0.1890, 0.1711, 0.0668), Zr at (0.2539, 0.6730, 0.2496), Zr at (0.5000, 0.0000, 0.5000), Ge at (0.0859, 0.5385, 0.8618) and Ge at (0.4929, 0.1314, 0.8643).

Its crystal system is monoclinic. The calculation puts the energy at -6.84 eV per atom.

No. 19
Here is a geometry-optimized Cs5TmO4 structure from the Alexandria database. Energies are from PBE.

It has space group Pmmn (No. 59, origin choice 2), with a = 8.4761 Å, b = 9.9508 Å, c = 7.0152 Å, α = 90.00°, β = 90.00° and γ = 90.00°. The asymmetric unit holds Cs at (0.0110, 0.0633, 0.2435), Cs at (0.2500, 0.7500, 0.3285), Tm at (0.2500, 0.2500, 0.7167), O at (0.0357, 0.2500, 0.8792) and O at (0.2500, 0.0684, 0.5499).

Its crystal system is orthorhombic. Its energy relative to the lowest polymorph listed for this composition is 0 meV per atom. As for the energy relative to the elements, uncorrected: -1647 meV per atom. The calculation puts the energy at -4.50 eV per atom.

No. 20
Here is a geometry-optimized LaTbNd2Tm structure from the Alexandria database. Energies are from PBE.

It has space group P2/c (No. 13), with a = 8.6093 Å, b = 6.5236 Å, c = 6.3149 Å, α = 90.00°, β = 97.43° and γ = 90.00°. The asymmetric unit holds La at (0.0000, 0.0000, 0.0000), Tb at (0.0000, 0.4418, 0.2500), Nd at (0.3133, 0.3115, 0.7085) and Tm at (0.5000, 0.1664, 0.2500).

Its crystal system is monoclinic. The calculation puts the energy at -4.43 eV per atom.